This record from Alexandria describes a relaxed NaCr2F crystal. The functional is PBE with a Hubbard U.

```
NaCr2F
1.0
0.000 3.417 3.417
3.417 0.000 3.417
3.417 3.417 0.000
Na Cr F
1 2 1
direct
0.000 0.000 0.000 Na
0.250 0.250 0.250 Cr
0.750 0.750 0.750 Cr
0.500 0.500 0.500 F
```

E_tot = -4.45 eV per atom
Excess energy over the best structure of this formula in the dataset = 25.95 kJ/mol of atoms
Total magnetic moment = 10.24 μB per cell
Space-group type = Fm-3m
Density of states at the Fermi level = 1.2 states/eV/cell